# TaTlCl2

A PBEsol-optimized structure of TaTlCl2 (meta-GGA SCAN, Alexandria).

a b c (Å): 6.734 6.734 6.734
angles (deg): 90.00 90.00 90.00
Space group Fm-3m (No. 225)
One atom of each set of equivalent atoms:
Ta: 0.000 0.000 0.000 [4 per cell]
Tl: 0.000 0.000 0.500 [4 per cell]
Cl: 0.250 0.250 0.250 [8 per cell]

Values from the calculation:
Excess energy over the best structure of this formula in the dataset ... 1.0853 eV per atom
Formation energy from raw total energies ... 0.5045 eV/atom



# La2YCd

A PBEsol-optimized structure of La2YCd (meta-GGA SCAN, Alexandria).

a b c (Å): 3.578 4.567 7.081
angles (deg): 90.00 90.00 90.00
Space group Pmm2 (No. 25)
One atom of each set of equivalent atoms:
La: 0.000 0.000 0.000 [1 per cell]
La: 0.500 0.500 0.238 [1 per cell]
Y: 0.000 0.000 0.532 [1 per cell]
Cd: 0.500 0.500 0.741 [1 per cell]

Values from the calculation:
Energy of formation from the pure elements ... -0.152 eV/atom



# CaTc2Se

A PBEsol-optimized structure of CaTc2Se (meta-GGA SCAN, Alexandria).

a b c (Å): 3.420 4.061 4.880
angles (deg): 90.00 90.00 90.00
Space group Pmmm (No. 47)
One atom of each set of equivalent atoms:
Ca: 0.000 0.000 0.000 [1 per cell]
Tc: 0.000 0.500 0.500 [1 per cell]
Tc: 0.500 0.000 0.500 [1 per cell]
Se: 0.500 0.500 0.000 [1 per cell]

Values from the calculation:
Formation energy from raw total energies ... 0.2728 eV/atom



# LaZr2Pt2

A PBEsol-optimized structure of LaZr2Pt2 (meta-GGA SCAN, Alexandria).

a b c (Å): 4.632 4.632 10.632
angles (deg): 90.00 90.00 90.00
Space group I4/mmm (No. 139)
One atom of each set of equivalent atoms:
La: 0.000 0.000 0.000 [2 per cell]
Zr: 0.000 0.500 0.250 [4 per cell]
Pt: 0.000 0.000 0.376 [4 per cell]

Values from the calculation:
Energy of formation from the pure elements ... -1.136 eV/atom



# RbNdO2

A PBEsol-optimized structure of RbNdO2 (meta-GGA SCAN, Alexandria).

a b c (Å): 3.6216 3.6216 19.4750
angles (deg): 90.00 90.00 120.00
Space group R-3m (No. 166, hexagonal axes)
One atom of each set of equivalent atoms:
Rb: 0.0000 0.0000 0.0000 [3 per cell]
Nd: 0.0000 0.0000 0.5000 [3 per cell]
O: 0.0000 0.0000 0.2275 [6 per cell]

Values from the calculation:
Formation energy from raw total energies ... -2.8432 eV/atom



# AgAu2Se

A PBEsol-optimized structure of AgAu2Se (meta-GGA SCAN, Alexandria).

a b c (Å): 2.783 2.783 9.204
angles (deg): 90.00 90.00 90.00
Space group P4/mmm (No. 123)
One atom of each set of equivalent atoms:
Ag: 0.000 0.000 0.000 [1 per cell]
Au: 0.500 0.500 0.232 [2 per cell]
Se: 0.000 0.000 0.500 [1 per cell]

Values from the calculation:
Formation energy from raw total energies ... 0.1589 eV/atom



# SrMg2Cu

A PBEsol-optimized structure of SrMg2Cu (meta-GGA SCAN, Alexandria).

a b c (Å): 4.6768 4.6768 16.4524
angles (deg): 90.00 90.00 120.00
Space group R3m (No. 160, hexagonal axes)
One atom of each set of equivalent atoms:
Sr: 0.0000 0.0000 0.0000 [3 per cell]
Mg: 0.0000 0.0000 0.2020 [3 per cell]
Mg: 0.0000 0.0000 0.4713 [3 per cell]
Cu: 0.0000 0.0000 0.8096 [3 per cell]

Values from the calculation:
Energy of formation from the pure elements ... -0.018 eV/atom



# CaBPb3

A PBEsol-optimized structure of CaBPb3 (meta-GGA SCAN, Alexandria).

a b c (Å): 5.103 5.103 5.103
angles (deg): 90.00 90.00 90.00
Space group Pm-3m (No. 221)
One atom of each set of equivalent atoms:
Ca: 0.000 0.000 0.000 [1 per cell]
B: 0.500 0.500 0.500 [1 per cell]
Pb: 0.000 0.500 0.500 [3 per cell]

Values from the calculation:
Energy of formation from the pure elements ... 0.377 eV/atom



Magnetic moment per entry: 0.0, 0.0, 0.0, 0.0, 0.0, 0.0, 0.1, 0.0 μB/f.u.